1.
Below is crystalline HgSb at its relaxed geometry, with properties calculated at the PBE level.

crystal system: trigonal

a = 3.3148 Å, b = 3.3148 Å, c = 16.8953 Å
α = 90.00°, β = 90.00°, γ = 120.00°
Closest atoms and distances in Å follow each position.
Space group R-3m (No. 166, hexagonal axes)
Asymmetric unit:
Hg  0.0000  0.0000  0.0000 [3 per cell]  6 Hg 3.31, 6 Sb 3.40
Sb  0.0000  0.0000  0.5000 [3 per cell]  6 Sb 3.31, 6 Hg 3.40


2.
Below is crystalline VPRhCl2 at its relaxed geometry, with properties calculated at the PBE level.

crystal system: tetragonal

a = 4.9506 Å, b = 4.9506 Å, c = 4.4452 Å
α = 90.00°, β = 90.00°, γ = 90.00°
Closest atoms and distances in Å follow each position.
Space group P4/mmm (No. 123)
Asymmetric unit:
V  0.0000  0.0000  0.0000 [1 per cell]  8 Cl 3.33, 4 P 3.50
P  0.5000  0.5000  0.0000 [1 per cell]  2 Rh 2.22
Rh  0.5000  0.5000  0.5000 [1 per cell]  2 P 2.22, 4 Cl 2.48
Cl  0.0000  0.5000  0.5000 [2 per cell]  2 Rh 2.48


Number 1: total energy -2.0156 eV/atom, formation energy from raw total energies 196 meV per atom, magnetic moment 0.0000 μB per atom. Number 2: total energy -4.6823 eV/atom, formation energy from raw total energies 432 meV per atom, magnetic moment 0.7313 μB per atom.